Density functional theory data (PBE) for a relaxed structure of PuSn4.

Results
Uncorrected energy: -0.457 Ry per atom
DFT formation energy: -0.151 eV per atom
Energy above the lowest structure with this stoichiometry: 0 meV/atom

a b c (Å): 3.3726 6.4816 12.7689
angles (deg): 104.70 97.59 90.00
Last column: nearest neighbours and their distance in Å.
Positions (direct):
Pu  0.9030  0.1530  0.8060  10 Sn 3.24-3.38, 2 Pu 3.37
Pu  0.0970  0.8470  0.1940  10 Sn 3.24-3.38, 2 Pu 3.37
Sn  0.0969  0.3469  0.1938  2 Pu 3.24, 10 Sn 3.32-3.37
Sn  0.9031  0.6531  0.8062  2 Pu 3.24, 10 Sn 3.32-3.37
Sn  0.5000  0.0000  0.0000  8 Sn 3.24-3.37, 4 Pu 3.33
Sn  0.5000  0.5000  0.0000  8 Sn 3.24-3.37, 4 Pu 3.33
Sn  0.6950  0.2058  0.3901  8 Sn 3.10-3.38, 2 Pu 3.38
Sn  0.3050  0.7942  0.6099  8 Sn 3.10-3.38, 2 Pu 3.38
Sn  0.3050  0.3157  0.6099  8 Sn 3.10-3.38, 2 Pu 3.38
Sn  0.6950  0.6843  0.3901  8 Sn 3.10-3.38, 2 Pu 3.38



Density functional theory data (PBE) for a relaxed structure of PuSn7.

Results
Uncorrected energy: -0.397 Ry per atom
DFT formation energy: -0.101 eV per atom

a b c (Å): 6.7048 6.7048 6.7048
angles (deg): 60.00 60.00 60.00
Last column: nearest neighbours and their distance in Å.
Positions (direct):
Pu  0.0000  0.0000  0.0000  12 Sn 3.35
Sn  0.5000  0.5000  0.0000  10 Sn 3.35, 2 Pu 3.35
Sn  0.5000  0.0000  0.5000  10 Sn 3.35, 2 Pu 3.35
Sn  0.0000  0.5000  0.5000  10 Sn 3.35, 2 Pu 3.35
Sn  0.5000  0.0000  0.0000  2 Pu 3.35, 10 Sn 3.35
Sn  0.0000  0.5000  0.0000  10 Sn 3.35, 2 Pu 3.35
Sn  0.0000  0.0000  0.5000  10 Sn 3.35, 2 Pu 3.35
Sn  0.5000  0.5000  0.5000  12 Sn 3.35



Density functional theory data (PBE) for a relaxed structure of Pu3Sn.

Results
Uncorrected energy: -0.870 Ry per atom
DFT formation energy: -0.091 eV per atom
Energy above the lowest structure with this stoichiometry: 111 meV/atom

a b c (Å): 5.3173 5.3173 5.3173
angles (deg): 60.00 60.00 60.00
Last column: nearest neighbours and their distance in Å.
Positions (direct):
Sn  0.5000  0.5000  0.5000  8 Pu 3.26
Pu  0.0000  0.0000  0.0000  8 Pu 3.26
Pu  0.7500  0.7500  0.7500  4 Sn 3.26, 4 Pu 3.26
Pu  0.2500  0.2500  0.2500  4 Sn 3.26, 4 Pu 3.26



Density functional theory data (PBE) for a relaxed structure of PuSn4.

Results
Uncorrected energy: -0.396 Ry per atom
DFT formation energy: 0.676 eV per atom
Energy above the lowest structure with this stoichiometry: 826 meV/atom

a b c (Å): 5.7449 5.7449 5.7449
angles (deg): 90.00 90.00 90.00
Last column: nearest neighbours and their distance in Å.
Positions (direct):
Sn  0.0000  0.0000  0.0000  12 Sn 4.06
Sn  0.5000  0.0000  0.5000  2 Pu 2.87
Sn  0.0000  0.5000  0.5000  2 Pu 2.87
Sn  0.5000  0.5000  0.0000  2 Pu 2.87
Pu  0.5000  0.5000  0.5000  6 Sn 2.87



Density functional theory data (PBE) for a relaxed structure of Pu5Sn.

Results
Uncorrected energy: -0.916 Ry per atom
DFT formation energy: 0.143 eV per atom

a b c (Å): 5.1501 4.7897 5.7154
angles (deg): 114.77 90.00 90.00
Last column: nearest neighbours and their distance in Å.
Positions (direct):
Sn  0.0000  0.0000  0.0000  6 Pu 3.04-3.32
Pu  0.5000  0.7285  0.4569  5 Pu 2.37-2.62
Pu  0.0000  0.6797  0.3595  4 Pu 2.62-2.80
Pu  0.5000  0.5000  0.0000  2 Pu 2.37
Pu  0.0000  0.3203  0.6405  4 Pu 2.62-2.80
Pu  0.5000  0.2715  0.5431  5 Pu 2.37-2.62



Density functional theory data (PBE) for a relaxed structure of SrPuSn.

Results
Uncorrected energy: -0.503 Ry per atom
DFT formation energy: -0.169 eV per atom
Energy above the lowest structure with this stoichiometry: 0 meV/atom

a b c (Å): 5.3412 5.3412 7.9203
angles (deg): 90.00 90.00 90.00
Last column: nearest neighbours and their distance in Å.
Positions (direct):
Sr  0.5000  0.5000  0.5000  4 Sn 3.39, 4 Sr 3.78
Sr  0.0000  0.0000  0.5000  4 Sn 3.39, 4 Sr 3.78
Pu  0.5000  0.5000  0.0000  4 Sn 3.27
Pu  0.0000  0.0000  0.0000  4 Sn 3.27
Sn  0.5000  0.0000  0.7628  4 Pu 3.27, 4 Sr 3.39
Sn  0.0000  0.5000  0.2372  4 Pu 3.27, 4 Sr 3.39



Density functional theory data (PBE) for a relaxed structure of SrPuSn.

Results
Uncorrected energy: -0.498 Ry per atom
DFT formation energy: -0.102 eV per atom
Energy above the lowest structure with this stoichiometry: 67 meV/atom

a b c (Å): 3.6875 5.4720 5.4720
angles (deg): 120.00 90.00 90.00
Last column: nearest neighbours and their distance in Å.
Positions (direct):
Sr  0.6831  0.3333  0.6667  3 Sn 3.45, 6 Pu 3.53-3.80, 2 Sr 3.69
Sn  0.0600  0.0000  0.0000  3 Pu 3.24, 3 Sr 3.45
Pu  0.2568  0.6667  0.3333  3 Sn 3.24, 3 Sr 3.53



Density functional theory data (PBE) for a relaxed structure of SrPu4Sn5.

Results
Uncorrected energy: -0.611 Ry per atom
DFT formation energy: -0.412 eV per atom

a b c (Å): 3.4069 3.4069 23.2422
angles (deg): 90.00 90.00 90.00
Last column: nearest neighbours and their distance in Å.
Positions (direct):
Sr  0.0000  0.0000  0.0000  4 Sr 3.41, 8 Sn 3.47
Pu  0.0000  0.0000  0.2057  8 Sn 3.32, 4 Pu 3.41
Pu  0.0000  0.0000  0.4023  8 Sn 3.31-3.32, 4 Pu 3.41
Pu  0.0000  0.0000  0.5977  8 Sn 3.31-3.32, 4 Pu 3.41
Pu  0.0000  0.0000  0.7943  8 Sn 3.32, 4 Pu 3.41
Sn  0.5000  0.5000  0.1076  4 Pu 3.32, 4 Sn 3.41, 4 Sr 3.47
Sn  0.5000  0.5000  0.3038  8 Pu 3.32, 4 Sn 3.41
Sn  0.5000  0.5000  0.5000  8 Pu 3.31, 4 Sn 3.41
Sn  0.5000  0.5000  0.6962  8 Pu 3.32, 4 Sn 3.41
Sn  0.5000  0.5000  0.8924  4 Pu 3.32, 4 Sn 3.41, 4 Sr 3.47



Density functional theory data (PBE) for a relaxed structure of SrPuSn2.

Results
Uncorrected energy: -0.469 Ry per atom
DFT formation energy: -0.371 eV per atom

a b c (Å): 4.5587 5.0734 5.0734
angles (deg): 90.00 90.00 90.00
Last column: nearest neighbours and their distance in Å.
Positions (direct):
Sr  0.5000  0.0000  0.0000  8 Sn 3.41, 4 Pu 3.59
Sn  0.0000  0.0000  0.5000  4 Pu 3.41, 4 Sr 3.41, 4 Sn 3.59
Sn  0.0000  0.5000  0.0000  4 Pu 3.41, 4 Sr 3.41, 4 Sn 3.59
Pu  0.5000  0.5000  0.5000  8 Sn 3.41, 4 Sr 3.59



Density functional theory data (PBE) for a relaxed structure of SrPuSn2.

Results
Uncorrected energy: -0.475 Ry per atom
DFT formation energy: -0.460 eV per atom

a b c (Å): 3.5093 3.5093 9.3651
angles (deg): 90.00 90.00 90.00
Last column: nearest neighbours and their distance in Å.
Positions (direct):
Sr  0.5000  0.5000  0.5000  8 Sn 3.50, 4 Sr 3.51
Sn  0.0000  0.0000  0.7629  4 Pu 3.33, 4 Sr 3.50, 4 Sn 3.51
Sn  0.0000  0.0000  0.2371  4 Pu 3.33, 4 Sr 3.50, 4 Sn 3.51
Pu  0.5000  0.5000  0.0000  8 Sn 3.33, 4 Pu 3.51



Density functional theory data (PBE) for a relaxed structure of Sr3PuSn12.

Results
Uncorrected energy: -0.337 Ry per atom
DFT formation energy: -0.378 eV per atom

a b c (Å): 4.8021 4.8021 19.3269
angles (deg): 90.00 90.00 90.00
Last column: nearest neighbours and their distance in Å.
Positions (direct):
Sr  0.0000  0.0000  0.2442  12 Sn 3.40-3.46
Sr  0.0000  0.0000  0.5000  12 Sn 3.40-3.44
Sr  0.0000  0.0000  0.7558  12 Sn 3.40-3.46
Pu  0.0000  0.0000  0.0000  12 Sn 3.31-3.40
Sn  0.5000  0.5000  0.0000  8 Sn 3.31, 4 Pu 3.40
Sn  0.5000  0.5000  0.2456  4 Sr 3.40, 8 Sn 3.44
Sn  0.5000  0.5000  0.5000  4 Sr 3.40, 8 Sn 3.44
Sn  0.5000  0.5000  0.7544  4 Sr 3.40, 8 Sn 3.44
Sn  0.5000  0.0000  0.1182  8 Sn 3.31-3.44, 2 Pu 3.31, 2 Sr 3.42
Sn  0.5000  0.0000  0.3728  8 Sn 3.40-3.44, 4 Sr 3.44-3.46
Sn  0.5000  0.0000  0.6272  8 Sn 3.40-3.44, 4 Sr 3.44-3.46
Sn  0.5000  0.0000  0.8818  2 Pu 3.31, 8 Sn 3.31-3.44, 2 Sr 3.42
Sn  0.0000  0.5000  0.1182  8 Sn 3.31-3.44, 2 Pu 3.31, 2 Sr 3.42
Sn  0.0000  0.5000  0.3728  8 Sn 3.40-3.44, 4 Sr 3.44-3.46
Sn  0.0000  0.5000  0.6272  8 Sn 3.40-3.44, 4 Sr 3.44-3.46
Sn  0.0000  0.5000  0.8818  2 Pu 3.31, 8 Sn 3.31-3.44, 2 Sr 3.42



Density functional theory data (PBE) for a relaxed structure of SrPuTlSn.

Results
Uncorrected energy: -0.430 Ry per atom
DFT formation energy: -0.259 eV per atom

a b c (Å): 5.5833 5.5833 5.5833
angles (deg): 60.00 60.00 60.00
Last column: nearest neighbours and their distance in Å.
Positions (direct):
Sr  0.5000  0.5000  0.5000  4 Tl 3.42, 4 Sn 3.42
Tl  0.2500  0.2500  0.2500  4 Pu 3.42, 4 Sr 3.42
Sn  0.7500  0.7500  0.7500  4 Pu 3.42, 4 Sr 3.42
Pu  0.0000  0.0000  0.0000  4 Sn 3.42, 4 Tl 3.42



Density functional theory data (PBE) for a relaxed structure of SrPuZnSn.

Results
Uncorrected energy: -0.409 Ry per atom
DFT formation energy: -0.245 eV per atom

a b c (Å): 5.4478 5.4478 5.4478
angles (deg): 60.00 60.00 60.00
Last column: nearest neighbours and their distance in Å.
Positions (direct):
Sr  0.5000  0.5000  0.5000  4 Sn 3.34, 4 Zn 3.34
Zn  0.7500  0.7500  0.7500  4 Pu 3.34, 4 Sr 3.34
Sn  0.2500  0.2500  0.2500  4 Pu 3.34, 4 Sr 3.34
Pu  0.0000  0.0000  0.0000  4 Zn 3.34, 4 Sn 3.34



no.,Fermi-level density of states (states/eV per cell)
1,19.8
2,12.6
3,16.3
4,13.3
5,16.4
6,19.6
7,9.3
8,26.8
9,13.1
10,7.4
11,16.8
12,14.4
13,11.1